Compound: CsV2PO8
Source: Alexandria
Functional: PBE+U
Structure: optimized geometry

The structure in CIF format:
```
data_CsV2PO8
_space_group_name_H-M_alt 'P -3'
_space_group_IT_number 147
_cell_length_a 5.1467
_cell_length_b 5.1467
_cell_length_c 8.6606
_cell_angle_alpha 90.00
_cell_angle_beta 90.00
_cell_angle_gamma 120.00
loop_
_space_group_symop_operation_xyz
'x,y,z'
'-x,-y,-z'
'-y,x-y,z'
'y,-x+y,-z'
'-x+y,-x,z'
'x-y,x,-z'
loop_
_atom_site_label
_atom_site_fract_x
_atom_site_fract_y
_atom_site_fract_z
_atom_site_occupancy
Cs1 0.0000 0.0000 0.0000 1
V1 0.3333 0.6667 0.6753 1
P1 0.0000 0.0000 0.5000 1
O1 0.0695 0.2966 0.6156 1
O2 0.3333 0.6667 0.8666 1
```

Results
Final energy, eV per atom: -6.961